[1]
Compound: RbPa2Se5
Source: Alexandria
Functional: PBE
Structure: optimized geometry

```
data_RbPa2Se5
_cell_length_a 4.379
_cell_length_b 7.195
_cell_length_c 14.964
_cell_angle_alpha 90.00
_cell_angle_beta 90.00
_cell_angle_gamma 90.00
_symmetry_space_group_name_H-M 'I m m m'
_symmetry_Int_Tables_number 71
_symmetry_space_group_name_Hall '-I 2 2'
loop_
_atom_site_label
_atom_site_fract_x
_atom_site_fract_y
_atom_site_fract_z
Rb1 0.000 0.000 0.000
Pa1 0.000 0.500 0.186
Se1 0.000 0.256 0.342
Se2 0.000 0.500 0.000
```

total energy = -97.077 eV for the cell shown
Fermi-level density of states = 15.00 states/eV per cell
ΔE_f (raw) = -1.395 eV/atom

---

[2]
Compound: TbSmZr
Source: Alexandria
Functional: PBE
Structure: optimized geometry

```
data_TbSmZr
_cell_length_a 3.412
_cell_length_b 3.412
_cell_length_c 14.947
_cell_angle_alpha 90.00
_cell_angle_beta 90.00
_cell_angle_gamma 90.00
_symmetry_space_group_name_H-M 'I 4 m m'
_symmetry_Int_Tables_number 107
_symmetry_space_group_name_Hall 'I 4 -2'
loop_
_atom_site_label
_atom_site_fract_x
_atom_site_fract_y
_atom_site_fract_z
Tb1 0.000 0.000 0.000
Sm1 0.000 0.000 0.312
Zr1 0.000 0.000 0.653
```

energy of formation from the pure elements = 96 meV per atom
energy above the lowest structure with this stoichiometry = 0 meV/atom
total energy = -35.218 eV for the cell shown
Fermi-level density of states = 8.66 states/eV per cell